Entry 1:
Density functional theory data (PBE-GGA) for a relaxed TiCuOF2 crystal.

Properties
**ΔE to the lowest computed polymorph**: 842 meV/atom

Cell: 3.924 3.924 3.880 Å, 90.00 90.00 90.00°
Positions (direct):
F1 0.500 0.000 0.000
F2 0.000 0.500 0.000
O1 0.000 0.000 0.500
Ti1 0.500 0.500 0.500
Cu1 0.000 0.000 0.000

=====

Entry 2:
Density functional theory data (PBE-GGA) for a relaxed Pr6AgRh5 crystal.

Properties
**E_form**: -12.63 kcal/mol of atoms

Cell: 5.074 7.266 8.014 Å, 90.00 108.67 90.00°
Positions (direct):
Rh1 0.333 0.500 0.664
Rh2 0.664 0.000 0.324
Rh3 0.667 0.500 0.336
Rh4 0.336 0.000 0.676
Rh5 0.000 0.500 0.000
Ag1 0.000 0.000 0.000
Pr1 0.171 0.746 0.342
Pr2 0.829 0.746 0.658
Pr3 0.171 0.254 0.342
Pr4 0.829 0.254 0.658
Pr5 0.500 0.739 0.000
Pr6 0.500 0.261 0.000

=====

Entry 3:
Density functional theory data (PBE-GGA) for a relaxed Ac3N2 crystal.

Properties
**ΔE to the lowest computed polymorph**: 0 meV/atom

Cell: 3.863 3.863 10.388 Å, 79.28 79.28 60.00°
Positions (direct):
N1 0.610 0.610 0.171
N2 0.390 0.390 0.829
Ac1 0.232 0.232 0.304
Ac2 0.768 0.768 0.696
Ac3 0.000 0.000 0.000

=====

Entry 4:
Density functional theory data (PBE-GGA) for a relaxed PuHfPa crystal.

Properties
**E_form**: 3.07 kcal/mol of atoms
**ΔE to the lowest computed polymorph**: 66 meV/atom

Cell: 3.164 3.164 7.461 Å, 102.24 102.24 90.00°
Positions (direct):
Hf1 0.667 0.667 0.334
Pu1 0.334 0.334 0.668
Pa1 0.999 0.999 0.998

=====

The following mass density values (in g cm⁻³) correspond, in order, to the records above: 4.60, 8.71, 8.98, 15.23.